Record 1
VASP calculation (GGA-PBE) on a relaxed structure of Pm6Pr2DyHo3.

Calculated values
Electronic total energy, eV/cell: -112.417
Energy of formation, kJ per mole of atoms: 1.5

a b c (Å): 6.278 10.873 11.976
angles (deg): 90.00 100.06 90.00
Space group C2/m (No. 12)
One atom of each set of equivalent atoms:
Pm1 0.248 0.000 0.246 x4
Pm2 0.249 0.334 0.246 x8
Pr1 0.000 0.333 0.500 x4
Dy1 0.000 0.000 0.500 x2
Ho1 0.000 0.166 0.000 x4
Ho2 0.000 0.500 0.000 x2

***

Record 2
VASP calculation (GGA-PBE) on a relaxed structure of PmPr4Dy2Ho.

Calculated values
Electronic total energy, eV/cell: -37.530
Energy of formation, kJ per mole of atoms: 1.5

a b c (Å): 5.159 5.191 10.170
angles (deg): 90.00 90.04 90.00
Space group P2/m (No. 10)
One atom of each set of equivalent atoms:
Pm1 0.000 0.000 0.000 x1
Pr1 0.000 0.500 0.252 x2
Pr2 0.500 0.000 0.252 x2
Dy1 0.000 0.000 0.500 x1
Dy2 0.500 0.500 0.000 x1
Ho1 0.500 0.500 0.500 x1

***

Record 3
VASP calculation (GGA-PBE) on a relaxed structure of Pm2PrDy3Ho6.

Calculated values
Electronic total energy, eV/cell: -110.675
Energy of formation, kJ per mole of atoms: 1.7

a b c (Å): 6.182 10.700 11.780
angles (deg): 90.00 100.02 90.00
Space group C2/m (No. 12)
One atom of each set of equivalent atoms:
Pm1 0.000 0.167 0.000 x4
Pr1 0.000 0.500 0.000 x2
Dy1 0.000 0.000 0.500 x2
Dy2 0.000 0.333 0.500 x4
Ho1 0.248 0.167 0.747 x8
Ho2 0.248 0.500 0.747 x4

***

Record 4
VASP calculation (GGA-PBE) on a relaxed structure of Pm2Pr4Dy2Ho.

Calculated values
Electronic total energy, eV/cell: -84.428
Energy of formation, kJ per mole of atoms: 2.0

a b c (Å): 15.485 5.162 8.115
angles (deg): 90.00 108.60 90.00
Space group C2/m (No. 12)
One atom of each set of equivalent atoms:
Pm1 0.112 0.000 0.170 x4
Pr1 0.054 0.500 0.830 x4
Pr2 0.222 0.000 0.830 x4
Dy1 0.167 0.500 0.500 x4
Ho1 0.000 0.000 0.500 x2

***

Record 5
VASP calculation (GGA-PBE) on a relaxed structure of Pm6Pr2Dy3Ho.

Calculated values
Electronic total energy, eV/cell: -112.535
Energy of formation, kJ per mole of atoms: 1.4

a b c (Å): 6.281 10.877 11.996
angles (deg): 90.00 100.05 90.00
Space group C2/m (No. 12)
One atom of each set of equivalent atoms:
Pm1 0.248 0.000 0.246 x4
Pm2 0.250 0.166 0.753 x8
Pr1 0.000 0.333 0.500 x4
Dy1 0.000 0.166 0.000 x4
Dy2 0.000 0.500 0.000 x2
Ho1 0.000 0.000 0.500 x2

***

Record 6
VASP calculation (GGA-PBE) on a relaxed structure of PmPr3DyHo.

Calculated values
Electronic total energy, eV/cell: -56.316
Energy of formation, kJ per mole of atoms: 1.8

a b c (Å): 10.921 3.649 10.948
angles (deg): 90.00 109.58 90.00
Space group P2_1/m (No. 11)
One atom of each set of equivalent atoms:
Pm1 0.127 0.250 0.128 x2
Pr1 0.045 0.750 0.377 x2
Pr2 0.208 0.750 0.874 x2
Pr3 0.460 0.250 0.131 x2
Dy1 0.294 0.250 0.621 x2
Ho1 0.378 0.750 0.379 x2

***

Record 7
VASP calculation (GGA-PBE) on a relaxed structure of Pm2PrDy6Ho.

Calculated values
Electronic total energy, eV/cell: -181.213
Energy of formation, kJ per mole of atoms: 11.3

a b c (Å): 9.080 15.095 9.688
angles (deg): 90.00 98.24 90.00
Space group C2/c (No. 15)
One atom of each set of equivalent atoms:
Pm1 0.248 0.051 0.044 x8
Pr1 0.000 0.020 0.750 x4
Dy1 0.067 0.190 0.443 x8
Dy2 0.099 0.393 0.619 x8
Dy3 0.205 0.225 0.815 x8
Ho1 0.000 0.408 0.250 x4

***

Record 8
VASP calculation (GGA-PBE) on a relaxed structure of PmPr3Dy6Ho2.

Calculated values
Electronic total energy, eV/cell: -111.289
Energy of formation, kJ per mole of atoms: 1.7

a b c (Å): 6.229 10.784 11.865
angles (deg): 90.00 100.04 90.00
Space group C2/m (No. 12)
One atom of each set of equivalent atoms:
Pm1 0.000 0.000 0.000 x2
Pr1 0.000 0.167 0.500 x4
Pr2 0.000 0.500 0.500 x2
Dy1 0.248 0.500 0.246 x4
Dy2 0.249 0.167 0.246 x8
Ho1 0.000 0.333 0.000 x4

***

Record 9
VASP calculation (GGA-PBE) on a relaxed structure of Pm2PrDy2Ho2.

Calculated values
Electronic total energy, eV/cell: -65.036
Energy of formation, kJ per mole of atoms: 1.7

a b c (Å): 11.333 5.079 8.051
angles (deg): 90.00 98.19 90.00
Space group C2/m (No. 12)
One atom of each set of equivalent atoms:
Pm1 0.143 0.000 0.429 x4
Pr1 0.000 0.000 0.000 x2
Dy1 0.215 0.500 0.142 x4
Ho1 0.072 0.500 0.714 x4

***

Record 10
VASP calculation (GGA-PBE) on a relaxed structure of Pm2PrDyHo4.

Calculated values
Electronic total energy, eV/cell: -74.132
Energy of formation, kJ per mole of atoms: 1.5

a b c (Å): 7.179 7.186 10.055
angles (deg): 89.95 89.99 89.95
Space group P-1 (No. 2)
One atom of each set of equivalent atoms:
Pm1 0.000 0.000 0.000 x1
Pm2 0.000 0.000 0.500 x1
Pm3 0.000 0.500 0.000 x1
Pm4 0.500 0.000 0.000 x1
Pr1 0.000 0.500 0.500 x1
Pr2 0.500 0.500 0.000 x1
Dy1 0.500 0.000 0.500 x1
Dy2 0.500 0.500 0.500 x1
Ho1 0.252 0.249 0.252 x2
Ho2 0.252 0.249 0.748 x2
Ho3 0.252 0.751 0.252 x2
Ho4 0.252 0.751 0.748 x2

***

Record 11
VASP calculation (GGA-PBE) on a relaxed structure of Pm3PrDyHo.

Calculated values
Electronic total energy, eV/cell: -56.177
Energy of formation, kJ per mole of atoms: 2.0

a b c (Å): 8.085 5.136 10.247
angles (deg): 90.00 108.54 90.00
Space group P2_1/m (No. 11)
One atom of each set of equivalent atoms:
Pm1 0.170 0.250 0.042 x2
Pm2 0.170 0.250 0.543 x2
Pm3 0.170 0.750 0.792 x2
Pr1 0.169 0.750 0.292 x2
Dy1 0.499 0.250 0.875 x2
Ho1 0.500 0.250 0.375 x2

***

Record 12
VASP calculation (GGA-PBE) on a relaxed structure of PmPr2Dy5Ho.

Calculated values
Electronic total energy, eV/cell: -158.010
Energy of formation, kJ per mole of atoms: 25.7

a b c (Å): 8.705 8.705 15.708
angles (deg): 90.00 90.00 90.00
Space group I4/mcm (No. 140)
One atom of each set of equivalent atoms:
Pm1 0.000 0.000 0.250 x4
Pr1 0.118 0.382 0.000 x8
Dy1 0.000 0.000 0.000 x4
Dy2 0.212 0.288 0.360 x16
Ho1 0.000 0.500 0.250 x4

***

Record 13
VASP calculation (GGA-PBE) on a relaxed structure of PmPrDyHo3.

Calculated values
Electronic total energy, eV/cell: -106.852
Energy of formation, kJ per mole of atoms: 18.5

a b c (Å): 19.790 5.636 7.075
angles (deg): 90.00 90.21 90.00
Space group C2/m (No. 12)
One atom of each set of equivalent atoms:
Pm1 0.054 0.000 0.263 x4
Pr1 0.146 0.500 0.031 x4
Dy1 0.150 0.500 0.458 x4
Ho1 0.023 0.500 0.740 x4
Ho2 0.165 0.000 0.735 x4
Ho3 0.221 0.000 0.246 x4

***

Record 14
VASP calculation (GGA-PBE) on a relaxed structure of PmPrDyHo.

Calculated values
Electronic total energy, eV/cell: -37.265
Energy of formation, kJ per mole of atoms: 1.9
Offset from the most stable computed form, meV/atom: 0

a b c (Å): 5.110 5.110 10.181
angles (deg): 90.00 90.00 90.00
Space group I-4m2 (No. 119)
One atom of each set of equivalent atoms:
Pm1 0.000 0.000 0.000 x2
Pr1 0.000 0.500 0.250 x2
Dy1 0.000 0.000 0.500 x2
Ho1 0.000 0.500 0.750 x2

***

Record 15
VASP calculation (GGA-PBE) on a relaxed structure of PmPr5DyHo2.

Calculated values
Electronic total energy, eV/cell: -164.498
Energy of formation, kJ per mole of atoms: 13.7

a b c (Å): 5.693 20.599 10.794
angles (deg): 90.00 90.00 90.00
Space group Cmc2_1 (No. 36)
One atom of each set of equivalent atoms:
Pm1 0.000 0.200 0.000 x4
Pr1 0.000 0.016 0.010 x4
Pr2 0.000 0.281 0.301 x4
Pr3 0.000 0.295 0.694 x4
Pr4 0.000 0.388 0.015 x4
Pr5 0.000 0.481 0.735 x4
Dy1 0.000 0.409 0.451 x4
Ho1 0.000 0.111 0.730 x4
Ho2 0.000 0.116 0.304 x4

***

Record 16
VASP calculation (GGA-PBE) on a relaxed structure of Pm2Pr6DyHo.

Calculated values
Electronic total energy, eV/cell: -184.904
Energy of formation, kJ per mole of atoms: 10.9

a b c (Å): 9.301 15.499 9.855
angles (deg): 90.00 98.34 90.00
Space group C2/c (No. 15)
One atom of each set of equivalent atoms:
Pm1 0.246 0.049 0.044 x8
Pr1 0.062 0.181 0.446 x8
Pr2 0.102 0.395 0.618 x8
Pr3 0.209 0.221 0.810 x8
Dy1 0.000 0.023 0.750 x4
Ho1 0.000 0.410 0.250 x4

***

Record 17
VASP calculation (GGA-PBE) on a relaxed structure of Pm2Pr4DyHo2.

Calculated values
Electronic total energy, eV/cell: -84.367
Energy of formation, kJ per mole of atoms: 2.1

a b c (Å): 15.479 5.159 8.109
angles (deg): 90.00 108.59 90.00
Space group C2/m (No. 12)
One atom of each set of equivalent atoms:
Pm1 0.112 0.000 0.170 x4
Pr1 0.054 0.500 0.830 x4
Pr2 0.222 0.000 0.830 x4
Dy1 0.000 0.000 0.500 x2
Ho1 0.167 0.500 0.500 x4

***

Record 18
VASP calculation (GGA-PBE) on a relaxed structure of PmPr5Dy2Ho.

Calculated values
Electronic total energy, eV/cell: -164.659
Energy of formation, kJ per mole of atoms: 13.6

a b c (Å): 5.694 20.625 10.795
angles (deg): 90.00 90.00 90.00
Space group Cmc2_1 (No. 36)
One atom of each set of equivalent atoms:
Pm1 0.000 0.200 0.000 x4
Pr1 0.000 0.015 0.010 x4
Pr2 0.000 0.280 0.301 x4
Pr3 0.000 0.295 0.694 x4
Pr4 0.000 0.388 0.014 x4
Pr5 0.000 0.482 0.735 x4
Dy1 0.000 0.111 0.729 x4
Dy2 0.000 0.116 0.303 x4
Ho1 0.000 0.408 0.452 x4

***

Record 19
VASP calculation (GGA-PBE) on a relaxed structure of Pm2PrDyHo5.

Calculated values
Electronic total energy, eV/cell: -157.576
Energy of formation, kJ per mole of atoms: 25.5

a b c (Å): 8.754 8.754 15.359
angles (deg): 90.00 90.00 90.00
Space group I4/mcm (No. 140)
One atom of each set of equivalent atoms:
Pm1 0.116 0.384 0.000 x8
Pr1 0.000 0.000 0.250 x4
Dy1 0.000 0.500 0.250 x4
Ho1 0.000 0.000 0.000 x4
Ho2 0.209 0.291 0.363 x16